(1)
SrNi2GeN (PBE, optimized geometry); theoretical density = 6.47 Mg/m³; space-group type = Cmcm; calculated total energy = -56.41 eV for the cell shown; D(E_F) = 7.006 states/eV per cell
1.0
-0.187 2.824 2.622
-5.298 -0.567 -2.605
-1.876 -4.597 4.818
Ni N Sr Ge
4 2 2 2
Direct
0.841 0.683 0.058 Ni
0.841 0.683 0.442 Ni
0.159 0.317 0.942 Ni
0.159 0.317 0.558 Ni
0.000 0.000 0.000 N
0.000 0.000 0.500 N
0.455 0.910 0.750 Sr
0.545 0.090 0.250 Sr
0.269 0.539 0.250 Ge
0.731 0.461 0.750 Ge



(2)
SmPCl (PBE, optimized geometry); theoretical density = 5.11 Mg/m³; space-group type = P2_1/m; calculated total energy = -96.96 eV for the cell shown; D(E_F) = 4.365 states/eV per cell
1.0
-4.047 -0.920 -0.821
0.933 -6.532 2.725
-4.123 8.066 11.280
Sm P Cl
6 6 6
Direct
0.750 0.269 0.774 Sm
0.250 0.246 0.403 Sm
0.250 0.731 0.226 Sm
0.250 0.764 0.937 Sm
0.750 0.236 0.063 Sm
0.750 0.754 0.597 Sm
0.250 0.028 0.118 P
0.750 0.674 0.793 P
0.250 0.326 0.207 P
0.750 0.080 0.526 P
0.250 0.920 0.474 P
0.750 0.972 0.882 P
0.250 0.011 0.707 Cl
0.750 0.636 0.083 Cl
0.750 0.989 0.293 Cl
0.750 0.517 0.408 Cl
0.250 0.483 0.592 Cl
0.250 0.364 0.917 Cl



(3)
Tb2Y6HoTm3 (PBE, optimized geometry); theoretical density = 6.69 Mg/m³; space-group type = C2/m; D(E_F) = 17.764 states/eV per cell; energy relative to the elements = 25 meV/atom
1.0
-0.509 -1.622 5.897
2.584 -3.848 -4.022
9.672 6.493 1.559
Y Ho Tm Tb
6 1 3 2
Direct
0.751 0.751 0.252 Y
0.417 0.084 0.251 Y
0.583 0.916 0.749 Y
0.084 0.417 0.251 Y
0.249 0.249 0.748 Y
0.916 0.583 0.749 Y
0.000 0.000 0.000 Ho
0.833 0.167 0.500 Tm
0.500 0.500 0.500 Tm
0.167 0.833 0.500 Tm
0.667 0.333 0.000 Tb
0.333 0.667 0.000 Tb



(4)
Hg2Pt2Au (PBE, optimized geometry); theoretical density = 15.69 Mg/m³; space-group type = I4/mmm; D(E_F) = 2.939 states/eV per cell; energy relative to the elements = 373 meV/atom
1.0
-0.765 3.434 -2.010
-1.730 -2.130 -2.981
-6.881 1.116 0.442
Pt Au Hg
2 1 2
Direct
0.600 0.600 0.800 Pt
0.400 0.400 0.200 Pt
0.000 0.000 0.000 Au
0.250 0.750 0.500 Hg
0.750 0.250 0.500 Hg



(5)
InCuAgSe2 (PBE, optimized geometry); theoretical density = 5.02 Mg/m³; space-group type = P4/mmm; calculated total energy = -12.79 eV for the cell shown; D(E_F) = 5.627 states/eV per cell
1.0
-1.387 -3.040 -4.145
-1.859 -3.706 3.340
-4.669 2.258 -0.094
Ag Cu Se In
1 1 2 1
Direct
0.000 0.000 0.500 Ag
0.500 0.500 0.500 Cu
0.000 0.500 0.000 Se
0.500 0.000 0.000 Se
0.000 0.000 0.000 In



(6)
ZrBiAu (PBE, optimized geometry); theoretical density = 11.59 Mg/m³; space-group type = I4mm; D(E_F) = 1.286 states/eV per cell; energy relative to the elements = -250 meV/atom
1.0
-3.009 1.394 0.155
-0.366 -0.427 -3.272
-0.950 -6.291 2.611
Au Bi Zr
1 1 1
Direct
0.317 0.317 0.633 Au
0.003 0.003 0.006 Bi
0.680 0.680 0.360 Zr



Which of these has the lowest D(E_F)? ZrBiAu



Look up the D(E_F) of the sixth one. 1.286 states/eV per cell



Which of these has the lowest theoretical density? InCuAgSe2